No. 1
Below is an optimized crystal structure of SrMg2Co, with properties calculated at the GGA-PBE level.

a = 3.3899 Å, b = 3.3899 Å, c = 8.1156 Å
α = 90.00°, β = 90.00°, γ = 90.00°
With the nearest neighbours (Å) after each atom.
Sites, in units of the cell vectors:
Mg  0.0000  0.0000  0.9209  4 Co 2.77, 1 Mg 2.77
Mg  0.0000  0.0000  0.5791  4 Co 2.77, 1 Mg 2.77
Co  0.5000  0.5000  0.7500  8 Mg 2.77
Sr  0.5000  0.5000  0.2500  4 Sr 3.39, 8 Mg 3.59

## Properties
ΔE_f: 0.9 eV per formula unit
M_tot: 1.030 μB per formula unit
Symmetry: P4/mmm (123)

***

No. 2
Below is an optimized crystal structure of K2Er2GeSe6, with properties calculated at the GGA-PBE level.

a = 6.9779 Å, b = 6.9779 Å, c = 8.2470 Å
α = 98.37°, β = 98.37°, γ = 119.86°
With the nearest neighbours (Å) after each atom.
Sites, in units of the cell vectors:
K  0.1712  0.8288  0.0000  6 Se 3.34-3.40
K  0.8288  0.1712  0.0000  6 Se 3.34-3.40
Se  0.6192  0.9295  0.3045  1 Ge 2.67, 2 Er 2.84-2.85
Se  0.2384  0.2384  0.3121  1 Ge 2.58, 2 Er 2.88
Se  0.3808  0.0705  0.6955  1 Ge 2.67, 2 Er 2.84-2.85
Se  0.7616  0.7616  0.6879  1 Ge 2.58, 2 Er 2.88
Se  0.0705  0.3808  0.6955  1 Ge 2.67, 2 Er 2.84-2.85
Se  0.9295  0.6192  0.3045  1 Ge 2.67, 2 Er 2.84-2.85
Ge  0.0000  0.0000  0.5000  6 Se 2.58-2.67
Er  0.3304  0.6696  0.5000  6 Se 2.84-2.88
Er  0.6696  0.3304  0.5000  6 Se 2.84-2.88

## Properties
M_tot: 0.000 μB per formula unit
Raw formation energy: -1.2511 eV per atom
Symmetry: C2/m (12)

***

No. 3
Below is an optimized crystal structure of TmPa2GaN5, with properties calculated at the GGA-PBE level.

a = 3.4041 Å, b = 7.0406 Å, c = 10.5333 Å
α = 90.00°, β = 90.00°, γ = 103.99°
With the nearest neighbours (Å) after each atom.
Sites, in units of the cell vectors:
N  0.6356  0.2712  0.5442  1 Ga 1.99
N  0.2941  0.5881  0.6502  3 Pa 2.25-2.36, 2 Tm 2.41
N  0.7059  0.4119  0.1502  3 Pa 2.25-2.36, 2 Tm 2.41
N  0.5140  0.0281  0.2974  1 Ga 2.00
N  0.2965  0.5929  0.3320  2 Tm 2.37, 3 Pa 2.38-2.44
N  0.0461  0.0923  0.0622  2 Ga 1.97
N  0.4860  0.9719  0.7974  1 Ga 2.00
N  0.7035  0.4071  0.8320  2 Tm 2.37, 3 Pa 2.38-2.44
N  0.9539  0.9077  0.5622  2 Ga 1.97
N  0.3644  0.7288  0.0442  1 Ga 1.99
Pa  0.1290  0.2579  0.2699  6 N 2.33-2.46
Pa  0.8710  0.7421  0.7699  6 N 2.33-2.46
Pa  0.1330  0.2660  0.6928  5 N 2.25-2.44
Pa  0.8670  0.7340  0.1928  5 N 2.25-2.44
Tm  0.7929  0.5859  0.4889  6 N 2.23-2.41
Tm  0.2071  0.4141  0.9889  6 N 2.23-2.41
Ga  0.5029  0.0057  0.9864  4 N 1.97-2.00
Ga  0.4971  0.9943  0.4864  4 N 1.97-2.00

## Properties
M_tot: 0.000 μB per formula unit
Raw formation energy: -1.2559 eV per atom
Symmetry: Cmc2_1 (36)

***

E_tot? In order: -2.76, -4.60, -8.82 eV per atom.